(1)
{"formula": "ReBAs3", "functional": "PBE-GGA", "state": "optimized geometry", "lattice_angstrom": [[4.2929, 0.0000, 0.0000], [0.0000, 4.2929, 0.0000], [0.0000, 0.0000, 4.2929]], "species": ["Re", "B", "As", "As", "As"], "frac_coords": [[0.0000, 0.0000, 0.0000], [0.5000, 0.5000, 0.5000], [0.0000, 0.5000, 0.5000], [0.5000, 0.0000, 0.5000], [0.5000, 0.5000, 0.0000]], "de_polymorph_mev_per_atom": 0.0, "e_form_ev_per_atom": 1.21, "total_magnetization_mub_per_cell": 1.52, "final_energy_ev_per_atom": -5.40}

(2)
{"formula": "PmTm2Co2", "functional": "PBE-GGA", "state": "optimized geometry", "lattice_angstrom": [[11.3400, 0.0000, 0.0000], [0.0000, 3.7391, 0.0000], [-1.3163, 0.0000, 5.3080]], "species": ["Pm", "Pm", "Tm", "Tm", "Tm", "Tm", "Co", "Co", "Co", "Co"], "frac_coords": [[0.0000, 0.0000, 0.0000], [0.5000, 0.5000, 0.0000], [0.1505, 0.5000, 0.5823], [0.3495, 0.0000, 0.4177], [0.6505, 0.0000, 0.5823], [0.8495, 0.5000, 0.4177], [0.2188, 0.5000, 0.1051], [0.2812, 0.0000, 0.8949], [0.7188, 0.0000, 0.1051], [0.7812, 0.5000, 0.8949]], "e_form_ev_per_atom": -0.09, "total_magnetization_mub_per_cell": 0.00, "final_energy_ev_per_atom": -5.67}

(3)
{"formula": "TbCe5Pb6", "functional": "PBE-GGA", "state": "optimized geometry", "lattice_angstrom": [[2.9529, -8.8632, 0.0000], [2.9529, 8.8632, 0.0000], [0.0000, 0.0000, 6.7661]], "species": ["Tb", "Ce", "Ce", "Ce", "Ce", "Ce", "Pb", "Pb", "Pb", "Pb", "Pb", "Pb"], "frac_coords": [[0.0000, 0.0000, 0.0000], [0.0000, 0.0000, 0.5000], [0.3325, 0.6675, 0.5000], [0.3345, 0.6655, 0.0000], [0.6655, 0.3345, 0.0000], [0.6675, 0.3325, 0.5000], [0.1657, 0.8343, 0.2464], [0.1657, 0.8343, 0.7536], [0.5000, 0.5000, 0.2467], [0.5000, 0.5000, 0.7533], [0.8343, 0.1657, 0.2464], [0.8343, 0.1657, 0.7536]], "de_polymorph_mev_per_atom": 0.0, "e_form_ev_per_atom": -0.40, "total_magnetization_mub_per_cell": 5.89, "final_energy_ev_per_atom": -5.11}